1.
This record from Alexandria via LeMat-Bulk describes a geometry-optimized Ho15ThSc4 structure. The functional is PBE.

Values from the calculation:
Magnetization ... 0.00 μB/f.u.
Energy of formation from the pure elements ... 0.043 eV/atom
Volume ... 594 Å³ per cell

POSCAR file:
```
Ho15ThSc4
1.0
4.921 0.000 0.000
0.000 4.921 0.000
0.000 0.000 24.513
Ho Th Sc
15 1 4
direct
0.000 0.000 0.000
0.000 0.000 0.204
0.000 0.000 0.401
0.000 0.000 0.599
0.000 0.000 0.796
0.000 0.500 0.103
0.000 0.500 0.302
0.000 0.500 0.500
0.000 0.500 0.698
0.000 0.500 0.897
0.500 0.000 0.103
0.500 0.000 0.302
0.500 0.000 0.500
0.500 0.000 0.698
0.500 0.000 0.897
0.500 0.500 0.000
0.500 0.500 0.203
0.500 0.500 0.401
0.500 0.500 0.599
0.500 0.500 0.797
```

2.
This record from Alexandria via LeMat-Bulk describes a geometry-optimized HoTh2Sc6 structure. The functional is PBE.

Values from the calculation:
Magnetization ... 0.00 μB/f.u.
Energy of formation from the pure elements ... 0.029 eV/atom
Volume ... 242 Å³ per cell

POSCAR file:
```
HoTh2Sc6
1.0
9.176 0.000 0.000
-4.588 7.946 0.000
0.000 0.000 3.324
Ho Th Sc
1 2 6
direct
0.000 0.000 0.000
0.333 0.667 0.000
0.667 0.333 0.000
0.000 0.333 0.500
0.000 0.667 0.500
0.333 0.000 0.500
0.333 0.333 0.500
0.667 0.000 0.500
0.667 0.667 0.500
```

3.
This record from Alexandria via LeMat-Bulk describes a geometry-optimized Ho8ThSc4 structure. The functional is PBE.

Values from the calculation:
Magnetization ... 0.00 μB/f.u.
Energy of formation from the pure elements ... 0.294 eV/atom
Volume ... 397 Å³ per cell

POSCAR file:
```
Ho8ThSc4
1.0
3.322 1.918 10.398
-3.322 1.918 10.398
0.000 -3.836 10.398
Ho Th Sc
8 1 4
direct
0.199 0.199 0.199
0.243 0.751 0.751
0.249 0.249 0.757
0.249 0.757 0.249
0.751 0.243 0.751
0.751 0.751 0.243
0.757 0.249 0.249
0.801 0.801 0.801
0.500 0.500 0.500
0.000 0.000 0.000
0.000 0.500 0.500
0.500 0.000 0.500
0.500 0.500 0.000
```

4.
This record from Alexandria via LeMat-Bulk describes a geometry-optimized Ho5Th2Sc2 structure. The functional is PBE.

Values from the calculation:
ΔE to the lowest computed polymorph ... 15.5 meV/atom
Magnetization ... 0.00 μB/f.u.
Energy of formation from the pure elements ... 0.233 eV/atom
Volume ... 552 Å³ per cell

POSCAR file:
```
Ho5Th2Sc2
1.0
-7.973 3.020 5.726
7.973 -3.020 5.726
7.973 3.020 -5.726
Ho Th Sc
10 4 4
direct
0.250 0.052 0.302
0.250 0.448 0.697
0.251 0.251 0.499
0.252 0.649 0.899
0.252 0.853 0.103
0.750 0.149 0.897
0.750 0.353 0.101
0.750 0.552 0.303
0.750 0.948 0.698
0.752 0.751 0.501
0.705 0.001 0.204
0.750 0.250 0.500
0.750 0.750 0.000
0.796 0.501 0.796
0.203 0.115 0.816
0.203 0.886 0.588
0.298 0.386 0.184
0.298 0.615 0.412
```

5.
This record from Alexandria via LeMat-Bulk describes a geometry-optimized Ho12Th7Sc structure. The functional is PBE.

Values from the calculation:
Magnetization ... 0.00 μB/f.u.
Energy of formation from the pure elements ... 0.112 eV/atom
Volume ... 634 Å³ per cell

POSCAR file:
```
Ho12Th7Sc
1.0
6.744 3.894 4.026
-6.744 3.894 4.026
0.000 -7.787 4.026
Ho Th Sc
12 7 1
direct
0.000 0.259 0.741
0.000 0.741 0.259
0.156 0.156 0.419
0.156 0.419 0.156
0.259 0.000 0.741
0.259 0.741 0.000
0.419 0.156 0.156
0.581 0.844 0.844
0.741 0.000 0.259
0.741 0.259 0.000
0.844 0.581 0.844
0.844 0.844 0.581
0.000 0.000 0.000
0.171 0.595 0.595
0.405 0.405 0.829
0.405 0.829 0.405
0.595 0.171 0.595
0.595 0.595 0.171
0.829 0.405 0.405
0.500 0.500 0.500
```

6.
This record from Alexandria via LeMat-Bulk describes a geometry-optimized Ho4Th6Sc structure. The functional is PBE.

Values from the calculation:
Magnetization ... 0.00 μB/f.u.
Energy of formation from the pure elements ... 0.407 eV/atom
Volume ... 359 Å³ per cell

POSCAR file:
```
Ho4Th6Sc
1.0
-3.208 3.208 8.716
3.208 -3.208 8.716
3.208 3.208 -8.716
Ho Th Sc
4 6 1
direct
0.192 0.192 0.633
0.441 0.808 0.000
0.559 0.559 0.367
0.808 0.441 0.000
0.000 0.500 0.500
0.003 0.629 0.000
0.371 0.371 0.374
0.500 0.000 0.500
0.629 0.003 0.000
0.997 0.997 0.626
0.000 0.000 0.000
```

7.
This record from Alexandria via LeMat-Bulk describes a geometry-optimized Ho12ThSc2 structure. The functional is PBE.

Values from the calculation:
Magnetization ... 0.00 μB/f.u.
Energy of formation from the pure elements ... 0.684 eV/atom
Volume ... 1003 Å³ per cell

POSCAR file:
```
Ho12ThSc2
1.0
7.121 0.000 0.000
0.000 7.121 0.000
0.000 0.000 19.773
Ho Th Sc
24 2 4
direct
0.002 0.502 0.122
0.002 0.998 0.878
0.099 0.599 0.436
0.099 0.901 0.564
0.250 0.250 0.231
0.250 0.250 0.382
0.250 0.250 0.618
0.250 0.250 0.769
0.401 0.599 0.564
0.401 0.901 0.436
0.498 0.502 0.878
0.498 0.998 0.122
0.502 0.002 0.878
0.502 0.498 0.122
0.599 0.099 0.564
0.599 0.401 0.436
0.750 0.750 0.231
0.750 0.750 0.382
0.750 0.750 0.618
0.750 0.750 0.769
0.901 0.099 0.436
0.901 0.401 0.564
0.998 0.002 0.122
0.998 0.498 0.878
0.250 0.750 0.000
0.750 0.250 0.000
0.250 0.750 0.254
0.250 0.750 0.746
0.750 0.250 0.254
0.750 0.250 0.746
```

8.
This record from Alexandria via LeMat-Bulk describes a geometry-optimized HoTh6Sc2 structure. The functional is PBE.

Values from the calculation:
ΔE to the lowest computed polymorph ... 0.0 meV/atom
Magnetization ... 0.00 μB/f.u.
Energy of formation from the pure elements ... 0.092 eV/atom
Volume ... 278 Å³ per cell

POSCAR file:
```
HoTh6Sc2
1.0
3.491 0.000 0.000
-1.745 3.023 0.000
0.000 0.000 26.303
Ho Th Sc
1 6 2
direct
0.000 0.000 0.000
0.000 0.000 0.225
0.000 0.000 0.436
0.000 0.000 0.564
0.000 0.000 0.775
0.333 0.667 0.113
0.333 0.667 0.887
0.333 0.667 0.331
0.333 0.667 0.669
```

Repeat the fifth record exactly.
This record from Alexandria via LeMat-Bulk describes a geometry-optimized Ho12Th7Sc structure. The functional is PBE.

Values from the calculation:
Magnetization ... 0.00 μB/f.u.
Energy of formation from the pure elements ... 0.112 eV/atom
Volume ... 634 Å³ per cell

POSCAR file:
```
Ho12Th7Sc
1.0
6.744 3.894 4.026
-6.744 3.894 4.026
0.000 -7.787 4.026
Ho Th Sc
12 7 1
direct
0.000 0.259 0.741
0.000 0.741 0.259
0.156 0.156 0.419
0.156 0.419 0.156
0.259 0.000 0.741
0.259 0.741 0.000
0.419 0.156 0.156
0.581 0.844 0.844
0.741 0.000 0.259
0.741 0.259 0.000
0.844 0.581 0.844
0.844 0.844 0.581
0.000 0.000 0.000
0.171 0.595 0.595
0.405 0.405 0.829
0.405 0.829 0.405
0.595 0.171 0.595
0.595 0.595 0.171
0.829 0.405 0.405
0.500 0.500 0.500
```

Repeat the seventh record exactly.
This record from Alexandria via LeMat-Bulk describes a geometry-optimized Ho12ThSc2 structure. The functional is PBE.

Values from the calculation:
Magnetization ... 0.00 μB/f.u.
Energy of formation from the pure elements ... 0.684 eV/atom
Volume ... 1003 Å³ per cell

POSCAR file:
```
Ho12ThSc2
1.0
7.121 0.000 0.000
0.000 7.121 0.000
0.000 0.000 19.773
Ho Th Sc
24 2 4
direct
0.002 0.502 0.122
0.002 0.998 0.878
0.099 0.599 0.436
0.099 0.901 0.564
0.250 0.250 0.231
0.250 0.250 0.382
0.250 0.250 0.618
0.250 0.250 0.769
0.401 0.599 0.564
0.401 0.901 0.436
0.498 0.502 0.878
0.498 0.998 0.122
0.502 0.002 0.878
0.502 0.498 0.122
0.599 0.099 0.564
0.599 0.401 0.436
0.750 0.750 0.231
0.750 0.750 0.382
0.750 0.750 0.618
0.750 0.750 0.769
0.901 0.099 0.436
0.901 0.401 0.564
0.998 0.002 0.122
0.998 0.498 0.878
0.250 0.750 0.000
0.750 0.250 0.000
0.250 0.750 0.254
0.250 0.750 0.746
0.750 0.250 0.254
0.750 0.250 0.746
```

> What is the volume in the fifth record?

634 Å³ per cell